(1)
Material: KZr3Se
Method: DFT, GGA-PBEsol
State: optimized geometry

Cell: 4.809 4.809 4.809 Å, 90.00 90.00 90.00°
Site moments in Bohr magnetons follow the coordinates.
Fractional coordinates of all 5 atoms:
K1 0.000 0.000 0.000  0.09
Zr1 0.000 0.000 0.500  0.22
Zr2 0.000 0.500 0.000  0.22
Zr3 0.500 0.000 0.000  0.22
Se1 0.500 0.500 0.500  0.00

Output
For the calculated density, the calculation gives 5.9 g/cm³. The calculation puts the formation energy from raw total energies at 41.54 kcal/mol of atoms. The calculated volume comes out at 111 Å³ per cell.

=====

(2)
Material: CaSi3W
Method: DFT, GGA-PBEsol
State: optimized geometry

Cell: 4.736 4.736 4.736 Å, 90.00 90.00 90.00°
Fractional coordinates of all 5 atoms:
Si1 0.000 0.000 0.500
Si2 0.500 0.000 0.000
Si3 0.000 0.500 0.000
W1 0.000 0.000 0.000
Ca1 0.500 0.500 0.500

Output
For the calculated density, the calculation gives 4.8 g/cm³. The calculation puts the formation energy from raw total energies at 2.82 kcal/mol of atoms. The calculated volume comes out at 106 Å³ per cell.

=====

(3)
Material: As4Se3
Method: DFT, GGA-PBEsol
State: optimized geometry

Cell: 7.898 9.233 10.228 Å, 90.00 90.00 90.00°
Fractional coordinates of all 28 atoms:
Se1 0.750 0.583 0.382
Se2 0.022 0.664 0.088
Se3 0.750 0.083 0.118
Se4 0.022 0.164 0.412
Se5 0.478 0.164 0.412
Se6 0.522 0.836 0.588
Se7 0.522 0.336 0.912
Se8 0.250 0.917 0.882
Se9 0.978 0.336 0.912
Se10 0.250 0.417 0.618
Se11 0.478 0.664 0.088
Se12 0.978 0.836 0.588
As1 0.750 0.469 0.590
As2 0.410 0.359 0.269
As3 0.410 0.859 0.231
As4 0.250 0.031 0.090
As5 0.590 0.141 0.769
As6 0.910 0.141 0.769
As7 0.250 0.662 0.932
As8 0.090 0.859 0.231
As9 0.750 0.838 0.432
As10 0.750 0.338 0.068
As11 0.090 0.359 0.269
As12 0.910 0.641 0.731
As13 0.750 0.969 0.910
As14 0.250 0.162 0.568
As15 0.250 0.531 0.410
As16 0.590 0.641 0.731

Output
For the calculated density, the calculation gives 4.8 g/cm³. The calculation puts the formation energy from raw total energies at -0.30 kcal/mol of atoms. The calculated volume comes out at 746 Å³ per cell.

=====

(4)
Material: BaLiMg2
Method: DFT, GGA-PBEsol
State: optimized geometry

Cell: 5.506 5.506 5.506 Å, 60.00 60.00 60.00°
Fractional coordinates of all 4 atoms:
Mg1 0.000 0.000 0.000
Mg2 0.750 0.750 0.750
Ba1 0.500 0.500 0.500
Li1 0.250 0.250 0.250

Output
For the calculated density, the calculation gives 2.7 g/cm³. The formation enthalpy at 0 K is 0.01 eV per atom. As for the energy above the most stable polymorph in this dataset: 5 kJ/mol of formula units. The calculated volume comes out at 118 Å³ per cell.

=====

Please write out number 4 again, unchanged.
Material: BaLiMg2
Method: DFT, GGA-PBEsol
State: optimized geometry

Cell: 5.506 5.506 5.506 Å, 60.00 60.00 60.00°
Fractional coordinates of all 4 atoms:
Mg1 0.000 0.000 0.000
Mg2 0.750 0.750 0.750
Ba1 0.500 0.500 0.500
Li1 0.250 0.250 0.250

Output
For the calculated density, the calculation gives 2.7 g/cm³. The formation enthalpy at 0 K is 0.01 eV per atom. As for the energy above the most stable polymorph in this dataset: 5 kJ/mol of formula units. The calculated volume comes out at 118 Å³ per cell.

=====

> calculated density of number 4 (BaLiMg2)?

2.7 g/cm³

=====

> Look up the calculated density of the fourth one.

2.7 g/cm³

=====

> Which of these has the highest calculated volume?

As4Se3